Entry 1:
DFT (PBE) results for a relaxed LiYbGe crystal.

Calculated values
energy of formation from the pure elements	-560	meV/atom
total moment	0.2	μB per formula unit
space group	No. 189

a = 7.104 Å, b = 7.104 Å, c = 4.334 Å
α = 90.00°, β = 90.00°, γ = 120.00°
Site moments in Bohr magnetons follow the coordinates.
Positions (direct):
1 Yb 0.000 0.573 0.000  0.17
2 Ge 0.667 0.333 0.500  0.01
3 Li 0.233 0.000 0.500  0.00
4 Li 0.767 0.767 0.500  0.00
5 Yb 0.573 0.000 0.000  0.17
6 Li 0.000 0.233 0.500  0.00
7 Yb 0.427 0.427 0.000  0.17
8 Ge 0.333 0.667 0.500  0.01
9 Ge 0.000 0.000 0.000  0.01



Entry 2:
DFT (PBE) results for a relaxed Li4Yb5Ge4 crystal.

Calculated values
energy of formation from the pure elements	-546	meV/atom
total moment	1.2	μB per formula unit
space group	No. 87

a = 8.626 Å, b = 8.626 Å, c = 8.626 Å
α = 93.30°, β = 93.30°, γ = 152.22°
Site moments in Bohr magnetons follow the coordinates.
Positions (direct):
1 Ge 0.560 0.753 0.313  0.01
2 Li 0.921 0.603 0.525  0.00
3 Ge 0.247 0.560 0.807  0.01
4 Li 0.397 0.921 0.318  0.00
5 Yb 0.500 0.500 0.000  0.22
6 Ge 0.753 0.440 0.193  0.01
7 Yb 0.791 0.871 0.662  0.22
8 Li 0.079 0.397 0.475  0.00
9 Ge 0.440 0.247 0.687  0.01
10 Yb 0.209 0.129 0.338  0.22
11 Yb 0.871 0.209 0.080  0.22
12 Li 0.603 0.079 0.682  0.00
13 Yb 0.129 0.791 0.920  0.22



> What is the formula in the first record?

LiYbGe